{"formula": "Sm2TmSe3", "functional": "PBE", "state": "optimized geometry", "mass_density_g_cm3": 7.89, "formation_energy_uncorrected_ev_per_atom": -1.763, "sg": "Immm (71)", "dos_at_fermi_per_ev_cell": 2.75, "cell": [[-2.061, 2.908, 6.200], [2.061, -2.908, 6.200], [2.061, 2.908, -6.200]], "species": ["Sm", "Sm", "Tm", "Se", "Se", "Se"], "frac_coords": [[0.173, 0.173, 0.000], [0.827, 0.827, 0.000], [0.500, 0.500, 0.000], [0.000, 0.500, 0.500], [0.343, 0.843, 0.500], [0.657, 0.157, 0.500]]}